A relaxed CsScTe2 crystal. Source: the Alexandria database, functional PBE.

Summary:
ΔE_f (raw)   -1143 meV/atom

Cell: 4.3841 4.3841 9.4784 Å, 90.00 90.00 120.00°
With the nearest neighbours (Å) after each atom.
Space group P3m1 (No. 156)
Asymmetric unit:
Cs: 0.0000 0.0000 0.0000 (multiplicity 1)  4 Te 3.65-3.68
Sc: 0.6667 0.3333 0.5483 (multiplicity 1)  6 Te 2.95-3.02
Te: 0.0000 0.0000 0.3881 (multiplicity 1)  3 Sc 2.95
Te: 0.3333 0.6667 0.7225 (multiplicity 1)  3 Sc 3.02